A plane-wave DFT calculation with PBE was carried out for TiAl2S2 after structural relaxation.

a b c (Å): 7.1740 7.1740 3.3891
angles (deg): 90.00 90.00 90.00
Last column: nearest neighbours and their distance in Å.
Fractional coordinates of all 10 atoms:
Ti (0.0000, 0.0000, 0.0000)  4 Al 2.85, 8 S 3.06
Ti (0.5000, 0.5000, 0.0000)  4 Al 2.85, 8 S 3.06
Al (0.1212, 0.3788, 0.0000)  2 S 2.31, 1 Al 2.46
Al (0.3788, 0.8788, 0.0000)  2 S 2.31, 1 Al 2.46
Al (0.6212, 0.1212, 0.0000)  2 S 2.31, 1 Al 2.46
Al (0.8788, 0.6212, 0.0000)  2 S 2.31, 1 Al 2.46
S (0.2237, 0.7237, 0.5000)  2 Al 2.31
S (0.2763, 0.2237, 0.5000)  2 Al 2.31
S (0.7237, 0.7763, 0.5000)  2 Al 2.31
S (0.7763, 0.2763, 0.5000)  2 Al 2.31

## Properties
The total energy is -4.86 eV/atom. The calculation puts the raw formation energy at -0.135 eV/atom. The energy above the most stable polymorph in this dataset comes out at 8 meV per atom.

A plane-wave DFT calculation with PBE was carried out for TiAlS2 after structural relaxation.

a b c (Å): 8.0325 8.0325 8.0325
angles (deg): 23.60 23.60 23.60
Last column: nearest neighbours and their distance in Å.
Fractional coordinates of all 4 atoms:
Ti (0.0000, 0.0000, 0.0000)  6 S 2.42
Al (0.5000, 0.5000, 0.5000)  2 S 2.41
S (0.3973, 0.3973, 0.3973)  1 Al 2.41, 3 Ti 2.42
S (0.6027, 0.6027, 0.6027)  1 Al 2.41, 3 Ti 2.42

## Properties
The total energy is -5.89 eV/atom. The calculation puts the raw formation energy at -0.917 eV/atom.

A plane-wave DFT calculation with PBE was carried out for Ti3Al5S12 after structural relaxation.

a b c (Å): 12.4807 12.4807 12.4807
angles (deg): 109.47 109.47 109.47
Last column: nearest neighbours and their distance in Å.
Fractional coordinates of all 80 atoms:
Ti (0.1250, 0.2500, 0.3750)  8 S 2.73
Ti (0.1250, 0.3750, 0.7500)  8 S 2.73
Ti (0.2500, 0.3750, 0.1250)  8 S 2.73
Ti (0.2500, 0.8750, 0.6250)  8 S 2.73
Ti (0.3750, 0.1250, 0.2500)  8 S 2.73
Ti (0.3750, 0.7500, 0.1250)  8 S 2.73
Ti (0.6250, 0.2500, 0.8750)  8 S 2.73
Ti (0.6250, 0.8750, 0.7500)  8 S 2.73
Ti (0.7500, 0.1250, 0.3750)  8 S 2.73
Ti (0.7500, 0.6250, 0.8750)  8 S 2.73
Ti (0.8750, 0.6250, 0.2500)  8 S 2.73
Ti (0.8750, 0.7500, 0.6250)  8 S 2.73
Al (0.0000, 0.0000, 0.0000)  6 S 2.40
Al (0.0000, 0.0000, 0.5000)  6 S 2.40
Al (0.0000, 0.5000, 0.0000)  6 S 2.40
Al (0.0000, 0.5000, 0.5000)  6 S 2.40
Al (0.1250, 0.7500, 0.8750)  4 S 2.23
Al (0.1250, 0.8750, 0.2500)  4 S 2.23
Al (0.2500, 0.1250, 0.8750)  4 S 2.23
Al (0.2500, 0.6250, 0.3750)  4 S 2.23
Al (0.3750, 0.2500, 0.6250)  4 S 2.23
Al (0.3750, 0.6250, 0.7500)  4 S 2.23
Al (0.5000, 0.0000, 0.0000)  6 S 2.40
Al (0.5000, 0.0000, 0.5000)  6 S 2.40
Al (0.5000, 0.5000, 0.0000)  6 S 2.40
Al (0.5000, 0.5000, 0.5000)  6 S 2.40
Al (0.6250, 0.3750, 0.2500)  4 S 2.23
Al (0.6250, 0.7500, 0.3750)  4 S 2.23
Al (0.7500, 0.3750, 0.6250)  4 S 2.23
Al (0.7500, 0.8750, 0.1250)  4 S 2.23
Al (0.8750, 0.1250, 0.7500)  4 S 2.23
Al (0.8750, 0.2500, 0.1250)  4 S 2.23
S (0.0407, 0.2164, 0.1285)  2 Al 2.23-2.40
S (0.0407, 0.3244, 0.9123)  2 Al 2.23-2.40
S (0.0877, 0.6285, 0.4121)  2 Al 2.23-2.40
S (0.0879, 0.7164, 0.6756)  2 Al 2.23-2.40
S (0.0879, 0.8715, 0.4123)  2 Al 2.23-2.40
S (0.0877, 0.9593, 0.6756)  2 Al 2.23-2.40
S (0.1285, 0.0407, 0.2164)  2 Al 2.23-2.40
S (0.1285, 0.5877, 0.9121)  2 Al 2.23-2.40
S (0.1756, 0.2164, 0.5879)  2 Al 2.23-2.40
S (0.1756, 0.4593, 0.5877)  2 Al 2.23-2.40
S (0.2164, 0.1285, 0.0407)  2 Al 2.23-2.40
S (0.2164, 0.5879, 0.1756)  2 Al 2.23-2.40
S (0.2836, 0.3244, 0.9121)  2 Al 2.23-2.40
S (0.2836, 0.4593, 0.3715)  2 Al 2.23-2.40
S (0.3244, 0.9123, 0.0407)  2 Al 2.23-2.40
S (0.3244, 0.9121, 0.2836)  2 Al 2.23-2.40
S (0.3715, 0.2836, 0.4593)  2 Al 2.23-2.40
S (0.3715, 0.5879, 0.9123)  2 Al 2.23-2.40
S (0.4121, 0.0877, 0.6285)  2 Al 2.23-2.40
S (0.4123, 0.0879, 0.8715)  2 Al 2.23-2.40
S (0.4123, 0.8244, 0.5407)  2 Al 2.23-2.40
S (0.4121, 0.8244, 0.7836)  2 Al 2.23-2.40
S (0.4593, 0.3715, 0.2836)  2 Al 2.23-2.40
S (0.4593, 0.5877, 0.1756)  2 Al 2.23-2.40
S (0.5407, 0.4123, 0.8244)  2 Al 2.23-2.40
S (0.5407, 0.6285, 0.7164)  2 Al 2.23-2.40
S (0.5879, 0.1756, 0.2164)  2 Al 2.23-2.40
S (0.5877, 0.1756, 0.4593)  2 Al 2.23-2.40
S (0.5877, 0.9121, 0.1285)  2 Al 2.23-2.40
S (0.5879, 0.9123, 0.3715)  2 Al 2.23-2.40
S (0.6285, 0.4121, 0.0877)  2 Al 2.23-2.40
S (0.6285, 0.7164, 0.5407)  2 Al 2.23-2.40
S (0.6756, 0.0879, 0.7164)  2 Al 2.23-2.40
S (0.6756, 0.0877, 0.9593)  2 Al 2.23-2.40
S (0.7164, 0.5407, 0.6285)  2 Al 2.23-2.40
S (0.7164, 0.6756, 0.0879)  2 Al 2.23-2.40
S (0.7836, 0.4121, 0.8244)  2 Al 2.23-2.40
S (0.7836, 0.8715, 0.9593)  2 Al 2.23-2.40
S (0.8244, 0.5407, 0.4123)  2 Al 2.23-2.40
S (0.8244, 0.7836, 0.4121)  2 Al 2.23-2.40
S (0.8715, 0.4123, 0.0879)  2 Al 2.23-2.40
S (0.8715, 0.9593, 0.7836)  2 Al 2.23-2.40
S (0.9123, 0.0407, 0.3244)  2 Al 2.23-2.40
S (0.9121, 0.1285, 0.5877)  2 Al 2.23-2.40
S (0.9121, 0.2836, 0.3244)  2 Al 2.23-2.40
S (0.9123, 0.3715, 0.5879)  2 Al 2.23-2.40
S (0.9593, 0.6756, 0.0877)  2 Al 2.23-2.40
S (0.9593, 0.7836, 0.8715)  2 Al 2.23-2.40

## Properties
The total energy is -5.58 eV/atom. The calculation puts the raw formation energy at -0.984 eV/atom.

A plane-wave DFT calculation with PBE was carried out for Ti3AlS after structural relaxation.

a b c (Å): 4.4703 4.4703 4.4703
angles (deg): 90.00 90.00 90.00
Last column: nearest neighbours and their distance in Å.
Fractional coordinates of all 5 atoms:
Ti (0.0000, 0.0000, 0.5000)  2 S 2.24
Ti (0.0000, 0.5000, 0.0000)  2 S 2.24
Ti (0.5000, 0.0000, 0.0000)  2 S 2.24
Al (0.5000, 0.5000, 0.5000)  12 Ti 3.16
S (0.0000, 0.0000, 0.0000)  6 Ti 2.24

## Properties
The total energy is -6.74 eV/atom. The calculation puts the raw formation energy at -0.434 eV/atom. The energy above the most stable polymorph in this dataset comes out at 33 meV per atom.

A plane-wave DFT calculation with PBE was carried out for Ti2Al2S7 after structural relaxation.

a b c (Å): 6.4450 6.4450 6.2489
angles (deg): 96.44 96.44 109.73
Last column: nearest neighbours and their distance in Å.
Fractional coordinates of all 11 atoms:
Ti (0.1829, 0.8171, 0.0000)  6 S 2.41-2.49
Ti (0.8171, 0.1829, 0.0000)  6 S 2.41-2.49
Al (0.2440, 0.2440, 0.6186)  4 S 2.17-2.41
Al (0.7560, 0.7560, 0.3814)  4 S 2.17-2.41
S (0.0589, 0.4473, 0.7909)  1 Al 2.31, 2 Ti 2.41-2.49
S (0.0620, 0.0620, 0.2549)  2 Al 2.41-2.55, 2 Ti 2.49
S (0.4473, 0.0589, 0.7909)  1 Al 2.31, 2 Ti 2.41-2.49
S (0.5000, 0.5000, 0.5000)  2 Al 2.17
S (0.5527, 0.9411, 0.2091)  1 Al 2.31, 2 Ti 2.41-2.49
S (0.9380, 0.9380, 0.7451)  2 Al 2.41-2.55, 2 Ti 2.49
S (0.9411, 0.5527, 0.2091)  1 Al 2.31, 2 Ti 2.41-2.49

## Properties
The total energy is -5.70 eV/atom. The calculation puts the raw formation energy at -0.953 eV/atom.

A plane-wave DFT calculation with PBE was carried out for Ti2AlVS after structural relaxation.

a b c (Å): 4.6414 4.6414 4.3310
angles (deg): 90.00 90.00 90.00
Last column: nearest neighbours and their distance in Å.
Fractional coordinates of all 5 atoms:
Ti (0.0000, 0.5000, 0.0000)  2 V 2.32
Ti (0.5000, 0.0000, 0.0000)  2 V 2.32
Al (0.0000, 0.0000, 0.5000)  8 Ti 3.17, 4 S 3.28
V (0.5000, 0.5000, 0.0000)  2 S 2.17, 4 Ti 2.32
S (0.5000, 0.5000, 0.5000)  2 V 2.17

## Properties
The total energy is -6.12 eV/atom. The calculation puts the raw formation energy at 0.436 eV/atom.

A plane-wave DFT calculation with PBE was carried out for TiAl2VS after structural relaxation.

a b c (Å): 4.5879 4.5879 4.2236
angles (deg): 90.00 90.00 90.00
Last column: nearest neighbours and their distance in Å.
Fractional coordinates of all 5 atoms:
Ti (0.0000, 0.0000, 0.0000)  8 Al 3.12, 4 V 3.24
Al (0.0000, 0.5000, 0.5000)  2 S 2.29
Al (0.5000, 0.0000, 0.5000)  2 S 2.29
V (0.5000, 0.5000, 0.0000)  2 S 2.11
S (0.5000, 0.5000, 0.5000)  2 V 2.11, 4 Al 2.29

## Properties
The total energy is -5.39 eV/atom. The calculation puts the raw formation energy at 0.339 eV/atom.

A plane-wave DFT calculation with PBE was carried out for Al2TlS after structural relaxation.

a b c (Å): 4.8922 4.8922 4.8922
angles (deg): 60.00 60.00 60.00
Last column: nearest neighbours and their distance in Å.
Fractional coordinates of all 4 atoms:
Al (0.2500, 0.2500, 0.2500)  4 S 3.00, 4 Tl 3.00
Al (0.7500, 0.7500, 0.7500)  4 S 3.00, 4 Tl 3.00
Tl (0.0000, 0.0000, 0.0000)  8 Al 3.00
S (0.5000, 0.5000, 0.5000)  8 Al 3.00

## Properties
The total energy is -3.18 eV/atom. The calculation puts the raw formation energy at 0.317 eV/atom. The energy above the most stable polymorph in this dataset comes out at 328 meV per atom.

A plane-wave DFT calculation with PBE was carried out for AlTlS2 after structural relaxation.

a b c (Å): 8.0776 3.7645 14.1339
angles (deg): 90.00 90.00 90.00
Last column: nearest neighbours and their distance in Å.
Fractional coordinates of all 16 atoms:
Al (0.0019, 0.2500, 0.0896)  4 S 2.16-2.35
Al (0.4981, 0.7500, 0.5896)  4 S 2.16-2.35
Al (0.5019, 0.2500, 0.4104)  4 S 2.16-2.35
Al (0.9981, 0.7500, 0.9104)  4 S 2.16-2.35
Tl (0.0705, 0.2500, 0.6538)  4 S 3.05-3.19
Tl (0.4295, 0.7500, 0.1538)  4 S 3.05-3.19
Tl (0.5705, 0.2500, 0.8462)  4 S 3.05-3.19
Tl (0.9295, 0.7500, 0.3462)  4 S 3.05-3.19
S (0.1335, 0.2500, 0.2227)  1 Al 2.16
S (0.1573, 0.2500, 0.9492)  3 Al 2.34-2.35
S (0.3427, 0.7500, 0.4492)  3 Al 2.34-2.35
S (0.3665, 0.7500, 0.7227)  1 Al 2.16
S (0.6335, 0.2500, 0.2773)  1 Al 2.16
S (0.6573, 0.2500, 0.5508)  3 Al 2.34-2.35
S (0.8427, 0.7500, 0.0508)  3 Al 2.34-2.35
S (0.8665, 0.7500, 0.7773)  1 Al 2.16

## Properties
The total energy is -4.40 eV/atom. The calculation puts the raw formation energy at -0.810 eV/atom.

A plane-wave DFT calculation with PBE was carried out for AlTlS4 after structural relaxation.

a b c (Å): 6.7544 7.3198 7.7753
angles (deg): 66.60 79.35 77.23
Last column: nearest neighbours and their distance in Å.
Fractional coordinates of all 12 atoms:
Al (0.0427, 0.4067, 0.1879)  4 S 2.20-2.43
Al (0.9573, 0.5933, 0.8121)  4 S 2.20-2.43
Tl (0.2039, 0.0293, 0.6703)  3 S 2.82-3.07
Tl (0.7961, 0.9707, 0.3297)  3 S 2.82-3.07
S (0.0198, 0.2612, 0.9838)  2 Al 2.25-2.28
S (0.1261, 0.7244, 0.5329)  1 Al 2.20
S (0.4114, 0.3187, 0.1827)  1 S 1.94
S (0.4738, 0.4712, 0.7963)  1 S 1.94
S (0.5262, 0.5288, 0.2037)  1 S 1.94
S (0.5886, 0.6813, 0.8173)  1 S 1.94
S (0.8739, 0.2756, 0.4671)  1 Al 2.20
S (0.9802, 0.7388, 0.0162)  2 Al 2.25-2.28

## Properties
The total energy is -4.15 eV/atom. The calculation puts the raw formation energy at -0.376 eV/atom.

A plane-wave DFT calculation with PBE was carried out for AlTlS2 after structural relaxation.

a b c (Å): 3.5953 3.5953 8.2033
angles (deg): 90.00 90.00 120.00
Last column: nearest neighbours and their distance in Å.
Fractional coordinates of all 4 atoms:
Al (0.0000, 0.0000, 0.0000)  6 S 2.39-2.54
Tl (0.3333, 0.6667, 0.4398)  3 S 2.99
S (0.3333, 0.6667, 0.8563)  3 Al 2.39
S (0.6667, 0.3333, 0.1776)  3 Al 2.54

## Properties
The total energy is -4.35 eV/atom. The calculation puts the raw formation energy at -0.755 eV/atom.

A plane-wave DFT calculation with PBE was carried out for AlTlS2 after structural relaxation.

a b c (Å): 4.8232 4.8232 3.4250
angles (deg): 90.00 90.00 90.00
Last column: nearest neighbours and their distance in Å.
Fractional coordinates of all 4 atoms:
Al (0.0000, 0.0000, 0.0000)  8 S 2.96
Tl (0.5000, 0.5000, 0.0000)  8 S 2.96
S (0.0000, 0.5000, 0.5000)  4 Tl 2.96, 4 Al 2.96
S (0.5000, 0.0000, 0.5000)  4 Tl 2.96, 4 Al 2.96

## Properties
The total energy is -3.52 eV/atom. The calculation puts the raw formation energy at 0.068 eV/atom.